#P
VASP calculation (meta-GGA SCAN) on LiZnNi at its PBEsol-relaxed geometry.

Unit cell a=3.8049 b=3.8049 c=3.8049 alpha=60.00 beta=60.00 gamma=60.00
Closest atoms and distances in Å follow each position.
Fractional coordinates of all 3 atoms:
Li 0.0000 0.0000 0.0000  4 Zn 2.33, 4 Ni 2.33
Zn 0.2500 0.2500 0.2500  4 Li 2.33
Ni 0.7500 0.7500 0.7500  4 Li 2.33

Properties
* space group: F-43m (216)
* crystal system: cubic

#Q
VASP calculation (meta-GGA SCAN) on LiZnNi at its PBEsol-relaxed geometry.

Unit cell a=4.3896 b=4.3896 c=4.3896 alpha=146.24 beta=130.79 gamma=61.02
Closest atoms and distances in Å follow each position.
Fractional coordinates of all 3 atoms:
Li 0.0000 0.0000 0.0000  5 Zn 2.46-2.59, 5 Ni 2.49-2.58, 2 Li 2.55
Zn 0.3253 0.3253 0.0000  5 Li 2.46-2.59, 5 Ni 2.51-2.62, 2 Zn 2.55
Ni 0.6713 0.6713 0.0000  5 Li 2.49-2.58, 5 Zn 2.51-2.62, 2 Ni 2.55

Properties
* space group: Imm2 (44)
* crystal system: orthorhombic

On energetic grounds, #Q is preferred over the next structure by 0.531 eV/atom.

#P
VASP calculation (meta-GGA SCAN) on LiOs3O at its PBEsol-relaxed geometry.

Unit cell a=4.0139 b=4.0139 c=4.0139 alpha=90.00 beta=90.00 gamma=90.00
Closest atoms and distances in Å follow each position.
Fractional coordinates of all 5 atoms:
Li 0.0000 0.0000 0.0000  12 Os 2.84
Os 0.0000 0.5000 0.5000  2 O 2.01
Os 0.5000 0.0000 0.5000  2 O 2.01
Os 0.5000 0.5000 0.0000  2 O 2.01
O 0.5000 0.5000 0.5000  6 Os 2.01

Properties
* space group: Pm-3m (221)
* crystal system: cubic

#Q
VASP calculation (meta-GGA SCAN) on LiOs3O at its PBEsol-relaxed geometry.

Unit cell a=4.0517 b=4.0517 c=4.0517 alpha=90.00 beta=90.00 gamma=90.00
Closest atoms and distances in Å follow each position.
Fractional coordinates of all 5 atoms:
Li 0.0000 0.0000 0.0000  6 Os 2.03
Os 0.0000 0.0000 0.5000  2 Li 2.03
Os 0.0000 0.5000 0.0000  2 Li 2.03
Os 0.5000 0.0000 0.0000  2 Li 2.03
O 0.5000 0.5000 0.5000  12 Os 2.87

Properties
* space group: Pm-3m (221)
* crystal system: cubic

On energetic grounds, #P is preferred over the next structure by 1.397 eV/atom.

#P
VASP calculation (meta-GGA SCAN) on LiP2O2 at its PBEsol-relaxed geometry.

Unit cell a=3.4872 b=3.4872 c=4.5204 alpha=90.00 beta=90.00 gamma=90.00
Closest atoms and distances in Å follow each position.
Fractional coordinates of all 5 atoms:
Li 0.0000 0.0000 0.0000  4 O 1.74
P 0.0000 0.0000 0.5000  2 Li 2.26, 4 P 2.47
P 0.5000 0.5000 0.5000  4 P 2.47
O 0.0000 0.5000 0.0000  2 Li 1.74
O 0.5000 0.0000 0.0000  2 Li 1.74

Properties
* space group: P4/mmm (123)
* crystal system: tetragonal

#Q
VASP calculation (meta-GGA SCAN) on LiP2O2 at its PBEsol-relaxed geometry.

Unit cell a=6.4684 b=6.4684 c=6.4684 alpha=152.47 beta=152.47 gamma=39.32
Closest atoms and distances in Å follow each position.
Fractional coordinates of all 5 atoms:
Li 0.0000 0.0000 0.0000  8 O 2.53
P 0.2500 0.7500 0.5000  4 P 2.18, 4 O 2.33
P 0.7500 0.2500 0.5000  4 P 2.18, 4 O 2.33
O 0.3937 0.3937 0.0000  4 P 2.33, 4 Li 2.53, 1 O 2.59
O 0.6063 0.6063 0.0000  4 P 2.33, 4 Li 2.53, 1 O 2.59

Properties
* space group: I4/mmm (139)
* crystal system: tetragonal

On energetic grounds, #Q is preferred over the next structure by 0.500 eV/atom.

#P
VASP calculation (meta-GGA SCAN) on Li3PO4 at its PBEsol-relaxed geometry.

Unit cell a=4.9451 b=6.0558 c=10.4712 alpha=90.00 beta=90.00 gamma=90.00
Closest atoms and distances in Å follow each position.
Fractional coordinates of all 32 atoms:
Li 0.1939 0.0122 0.1644  4 O 1.91-2.00
Li 0.1939 0.4878 0.1644  4 O 1.91-2.00
Li 0.1970 0.2500 0.9236  4 O 1.88-1.99
Li 0.3030 0.7500 0.4236  4 O 1.88-1.99
Li 0.3061 0.5122 0.6644  4 O 1.91-2.00
Li 0.3061 0.9878 0.6644  4 O 1.91-2.00
Li 0.6939 0.0122 0.3356  4 O 1.91-2.00
Li 0.6939 0.4878 0.3356  4 O 1.91-2.00
Li 0.6970 0.2500 0.5764  4 O 1.88-1.99
Li 0.8030 0.7500 0.0764  4 O 1.88-1.99
Li 0.8061 0.5122 0.8356  4 O 1.91-2.00
Li 0.8061 0.9878 0.8356  4 O 1.91-2.00
P 0.1888 0.2500 0.4162  4 O 1.55-1.56
P 0.3112 0.7500 0.9162  4 O 1.55-1.56
P 0.6888 0.2500 0.0838  4 O 1.55-1.56
P 0.8112 0.7500 0.5838  4 O 1.55-1.56
O 0.1242 0.7500 0.5818  1 P 1.55
O 0.2040 0.7500 0.0557  1 P 1.55
O 0.2089 0.5407 0.8448  1 P 1.56
O 0.2089 0.9593 0.8448  1 P 1.56
O 0.2911 0.0407 0.3448  1 P 1.56
O 0.2911 0.4593 0.3448  1 P 1.56
O 0.2960 0.2500 0.5557  1 P 1.55
O 0.3758 0.2500 0.0818  1 P 1.55
O 0.6242 0.7500 0.9182  1 P 1.55
O 0.7040 0.7500 0.4443  1 P 1.55
O 0.7089 0.5407 0.6552  1 P 1.56
O 0.7089 0.9593 0.6552  1 P 1.56
O 0.7911 0.0407 0.1552  1 P 1.56
O 0.7911 0.4593 0.1552  1 P 1.56
O 0.7960 0.2500 0.9443  1 P 1.55
O 0.8758 0.2500 0.4182  1 P 1.55

Properties
* space group: Pnma (62)
* crystal system: orthorhombic

#Q
VASP calculation (meta-GGA SCAN) on Li3PO4 at its PBEsol-relaxed geometry.

Unit cell a=6.0823 b=5.2262 c=4.8336 alpha=90.00 beta=90.00 gamma=90.00
Closest atoms and distances in Å follow each position.
Fractional coordinates of all 16 atoms:
Li 0.0000 0.1572 0.0000  4 O 1.95-2.00
Li 0.2472 0.3278 0.4988  4 O 1.91-1.96
Li 0.2528 0.6722 0.9988  4 O 1.91-1.96
Li 0.5000 0.8428 0.5000  4 O 1.95-2.00
Li 0.7472 0.6722 0.9988  4 O 1.91-1.96
Li 0.7528 0.3278 0.4988  4 O 1.91-1.96
P 0.0000 0.8253 0.4908  4 O 1.55
P 0.5000 0.1747 0.9908  4 O 1.55
O 0.0000 0.1069 0.5936  1 P 1.55
O 0.0000 0.8198 0.1701  1 P 1.55
O 0.2094 0.6861 0.5976  1 P 1.55
O 0.2906 0.3139 0.0976  1 P 1.55
O 0.5000 0.1802 0.6701  1 P 1.55
O 0.5000 0.8931 0.0936  1 P 1.55
O 0.7094 0.3139 0.0976  1 P 1.55
O 0.7906 0.6861 0.5976  1 P 1.55

Properties
* space group: Pmn2_1 (31)
* crystal system: orthorhombic

On energetic grounds, #Q is preferred over the next structure by 0.017 eV/atom.